No. 1
# GGA-PBE Pr3Tm3Te2Ir, relaxed
# **E**: -49.26 eV/cell
# **Spin magnetization**: 0.0 μB per formula unit
data_Pr3Tm3Te2Ir
_symmetry_space_group_name_H-M 'P -6 2 m'
_symmetry_Int_Tables_number 189
_symmetry_space_group_name_Hall 'P -6 -2'
_cell_length_a 8.6048
_cell_length_b 8.6048
_cell_length_c 3.9435
_cell_angle_alpha 90.00
_cell_angle_beta 90.00
_cell_angle_gamma 120.00
loop_
_atom_site_label
_atom_site_fract_x
_atom_site_fract_y
_atom_site_fract_z
_atom_site_occupancy
Pr1 0.0000 0.7508 0.0000 1
Tm1 0.0000 0.3996 0.5000 1
Te1 0.3333 0.6667 0.0000 1
Ir1 0.0000 0.0000 0.5000 1

No. 2
# GGA-PBE Na4TlPd2Pb, relaxed
# **E**: -22.91 eV/cell
data_Na4TlPd2Pb
_symmetry_space_group_name_H-M 'P -4 m 2'
_symmetry_Int_Tables_number 115
_symmetry_space_group_name_Hall 'P -4 -2'
_cell_length_a 4.924
_cell_length_b 4.924
_cell_length_c 6.945
_cell_angle_alpha 90.00
_cell_angle_beta 90.00
_cell_angle_gamma 90.00
loop_
_atom_site_label
_atom_site_fract_x
_atom_site_fract_y
_atom_site_fract_z
_atom_site_occupancy
Na1 0.000 0.000 0.000 1
Na2 0.000 0.500 0.247 1
Na3 0.500 0.500 0.500 1
Tl1 0.500 0.500 0.000 1
Pd1 0.000 0.500 0.748 1
Pb1 0.000 0.000 0.500 1

No. 3
# GGA-PBE Nb4Mo2Pb3N3, relaxed
# **E**: -401.37 eV/cell
# **Spin magnetization**: 0.0 μB per formula unit
data_Nb4Mo2Pb3N3
_symmetry_space_group_name_H-M 'C 1 2/c 1'
_symmetry_Int_Tables_number 15
_symmetry_space_group_name_Hall '-C 2yc'
_cell_length_a 10.011
_cell_length_b 5.717
_cell_length_c 14.107
_cell_angle_alpha 90.00
_cell_angle_beta 103.70
_cell_angle_gamma 90.00
loop_
_atom_site_label
_atom_site_fract_x
_atom_site_fract_y
_atom_site_fract_z
_atom_site_occupancy
Nb1 0.109 0.096 0.076 1
Nb2 0.231 0.078 0.424 1
Mo1 0.050 0.422 0.924 1
Pb1 0.000 0.085 0.750 1
Pb2 0.165 0.419 0.251 1
N1 0.083 0.249 0.499 1
N2 0.250 0.250 0.000 1

No. 4
# GGA-PBE Hf3As4Pt4, relaxed
# **E**: -81.18 eV/cell
# **Spin magnetization**: 0.0 μB per formula unit
data_Hf3As4Pt4
_symmetry_space_group_name_H-M 'P 1 m 1'
_symmetry_Int_Tables_number 6
_symmetry_space_group_name_Hall 'P -2y'
_cell_length_a 6.634
_cell_length_b 4.032
_cell_length_c 7.615
_cell_angle_alpha 90.00
_cell_angle_beta 92.57
_cell_angle_gamma 90.00
loop_
_atom_site_label
_atom_site_fract_x
_atom_site_fract_y
_atom_site_fract_z
_atom_site_occupancy
Hf1 0.000 0.000 0.000 1
Hf2 0.052 0.500 0.383 1
Hf3 0.506 0.000 0.890 1
As1 0.304 0.500 0.066 1
As2 0.308 0.000 0.584 1
As3 0.727 0.000 0.321 1
As4 0.747 0.500 0.780 1
Pt1 0.165 0.500 0.752 1
Pt2 0.328 0.000 0.268 1
Pt3 0.746 0.500 0.119 1
Pt4 0.896 0.000 0.628 1

No. 5
# GGA-PBE YErFe2B2N2, relaxed
# **E**: -65.94 eV/cell
# **Spin magnetization**: 2.3 μB per formula unit
data_YErFe2B2N2
_symmetry_space_group_name_H-M 'P 4 m m'
_symmetry_Int_Tables_number 99
_symmetry_space_group_name_Hall 'P 4 -2'
_cell_length_a 3.432
_cell_length_b 3.432
_cell_length_c 7.693
_cell_angle_alpha 90.00
_cell_angle_beta 90.00
_cell_angle_gamma 90.00
loop_
_atom_site_label
_atom_site_fract_x
_atom_site_fract_y
_atom_site_fract_z
_atom_site_occupancy
Y1 0.000 0.000 0.000 1
Er1 0.500 0.500 0.330 1
Fe1 0.000 0.500 0.664 1
B1 0.000 0.000 0.500 1
B2 0.500 0.500 0.830 1
N1 0.000 0.000 0.306 1
N2 0.500 0.500 0.025 1

No. 6
# GGA-PBE U8NiSe17, relaxed
# **E**: -366.82 eV/cell
# **Spin magnetization**: 16.7 μB per formula unit
data_U8NiSe17
_symmetry_space_group_name_H-M 'C 1 2/m 1'
_symmetry_Int_Tables_number 12
_symmetry_space_group_name_Hall '-C 2y'
_cell_length_a 13.841
_cell_length_b 8.718
_cell_length_c 10.783
_cell_angle_alpha 90.00
_cell_angle_beta 102.16
_cell_angle_gamma 90.00
loop_
_atom_site_label
_atom_site_fract_x
_atom_site_fract_y
_atom_site_fract_z
_atom_site_occupancy
U1 0.062 0.242 0.202 1
U2 0.179 0.500 0.514 1
U3 0.200 0.000 0.955 1
Ni1 0.000 0.000 0.500 1
Se1 0.000 0.000 0.000 1
Se2 0.021 0.500 0.670 1
Se3 0.052 0.000 0.722 1
Se4 0.127 0.309 0.963 1
Se5 0.136 0.187 0.474 1
Se6 0.202 0.500 0.256 1
Se7 0.216 0.000 0.223 1

No. 7
# GGA-PBE TmCuSi, relaxed
# **E**: -51.85 eV/cell
# **Spin magnetization**: 0.0 μB per formula unit
data_TmCuSi
_symmetry_space_group_name_H-M 'F -4 3 m'
_symmetry_Int_Tables_number 216
_symmetry_space_group_name_Hall 'F -4 2 3'
_cell_length_a 6.395
_cell_length_b 6.395
_cell_length_c 6.395
_cell_angle_alpha 90.00
_cell_angle_beta 90.00
_cell_angle_gamma 90.00
loop_
_atom_site_label
_atom_site_fract_x
_atom_site_fract_y
_atom_site_fract_z
_atom_site_occupancy
Tm1 0.000 0.000 0.000 1
Cu1 0.250 0.250 0.750 1
Si1 0.250 0.250 0.250 1

No. 8
# GGA-PBE KSi2Pt2, relaxed
# **E**: -53.02 eV/cell
# **Spin magnetization**: 0.0 μB per formula unit
data_KSi2Pt2
_symmetry_space_group_name_H-M 'I 4/m m m'
_symmetry_Int_Tables_number 139
_symmetry_space_group_name_Hall '-I 4 2'
_cell_length_a 4.281
_cell_length_b 4.281
_cell_length_c 10.485
_cell_angle_alpha 90.00
_cell_angle_beta 90.00
_cell_angle_gamma 90.00
loop_
_atom_site_label
_atom_site_fract_x
_atom_site_fract_y
_atom_site_fract_z
_atom_site_occupancy
K1 0.000 0.000 0.000 1
Si1 0.000 0.000 0.367 1
Pt1 0.000 0.500 0.250 1

No. 9
# GGA-PBE InB4Au, relaxed
# **E**: -29.09 eV/cell
data_InB4Au
_symmetry_space_group_name_H-M 'P 6/m m m'
_symmetry_Int_Tables_number 191
_symmetry_space_group_name_Hall '-P 6 2'
_cell_length_a 3.0441
_cell_length_b 3.0441
_cell_length_c 8.8157
_cell_angle_alpha 90.00
_cell_angle_beta 90.00
_cell_angle_gamma 120.00
loop_
_atom_site_label
_atom_site_fract_x
_atom_site_fract_y
_atom_site_fract_z
_atom_site_occupancy
In1 0.0000 0.0000 0.0000 1
B1 0.3333 0.6667 0.2699 1
Au1 0.0000 0.0000 0.5000 1

No. 10
# GGA-PBE MgTaIr2, relaxed
# **E**: -65.32 eV/cell
# **Spin magnetization**: 0.0 μB per formula unit
data_MgTaIr2
_symmetry_space_group_name_H-M 'P 63/m m c'
_symmetry_Int_Tables_number 194
_symmetry_space_group_name_Hall '-P 6c 2c'
_cell_length_a 4.2502
_cell_length_b 4.2502
_cell_length_c 8.4835
_cell_angle_alpha 90.00
_cell_angle_beta 90.00
_cell_angle_gamma 120.00
loop_
_atom_site_label
_atom_site_fract_x
_atom_site_fract_y
_atom_site_fract_z
_atom_site_occupancy
Mg1 0.0000 0.0000 0.0000 1
Ta1 0.3333 0.6667 0.2500 1
Ir1 0.3333 0.6667 0.5993 1

No. 11
# GGA-PBE LiThNi4, relaxed
# **E**: -135.62 eV/cell
# **Spin magnetization**: 0.1 μB per formula unit
data_LiThNi4
_symmetry_space_group_name_H-M 'F -4 3 m'
_symmetry_Int_Tables_number 216
_symmetry_space_group_name_Hall 'F -4 2 3'
_cell_length_a 6.997
_cell_length_b 6.997
_cell_length_c 6.997
_cell_angle_alpha 90.00
_cell_angle_beta 90.00
_cell_angle_gamma 90.00
loop_
_atom_site_label
_atom_site_fract_x
_atom_site_fract_y
_atom_site_fract_z
_atom_site_occupancy
Li1 0.000 0.000 0.000 1
Th1 0.250 0.250 0.250 1
Ni1 0.126 0.126 0.626 1

No. 12
# GGA-PBE AlReSi, relaxed
# **E**: -46.04 eV/cell
# **Spin magnetization**: 0.0 μB per formula unit
data_AlReSi
_symmetry_space_group_name_H-M 'P 4/n m m'
_symmetry_Int_Tables_number 129
_cell_length_a 3.195
_cell_length_b 3.195
_cell_length_c 8.078
_cell_angle_alpha 90.00
_cell_angle_beta 90.00
_cell_angle_gamma 90.00
loop_
_symmetry_equiv_pos_as_xyz
'x,y,z'
'-x,-y,-z'
'-y+1/2,x,z'
'y+1/2,-x,-z'
'-x+1/2,-y+1/2,z'
'x+1/2,y+1/2,-z'
'y,-x+1/2,z'
'-y,x+1/2,-z'
'x+1/2,-y,-z'
'-x+1/2,y,z'
'-y,-x,-z'
'y,x,z'
'-x,y+1/2,-z'
'x,-y+1/2,z'
'y+1/2,x+1/2,-z'
'-y+1/2,-x+1/2,z'
loop_
_atom_site_label
_atom_site_fract_x
_atom_site_fract_y
_atom_site_fract_z
_atom_site_occupancy
Al1 0.250 0.250 0.088 1
Re1 0.250 0.250 0.732 1
Si1 0.250 0.250 0.415 1

No. 13
# GGA-PBE Ac2MoN4, relaxed
# **E**: -118.56 eV/cell
# **Spin magnetization**: 0.0 μB per formula unit
data_Ac2MoN4
_symmetry_space_group_name_H-M 'P 1 21/m 1'
_symmetry_Int_Tables_number 11
_symmetry_space_group_name_Hall '-P 2yb'
_cell_length_a 6.065
_cell_length_b 6.006
_cell_length_c 7.413
_cell_angle_alpha 90.00
_cell_angle_beta 110.04
_cell_angle_gamma 90.00
loop_
_atom_site_label
_atom_site_fract_x
_atom_site_fract_y
_atom_site_fract_z
_atom_site_occupancy
Ac1 0.187 0.250 0.022 1
Ac2 0.288 0.250 0.564 1
Mo1 0.246 0.750 0.796 1
N1 0.041 0.507 0.732 1
N2 0.412 0.750 0.060 1
N3 0.457 0.750 0.660 1

No. 14
# GGA-PBE ZrCuB2, relaxed
# **E**: -89.45 eV/cell
# **Spin magnetization**: 0.0 μB per formula unit
data_ZrCuB2
_symmetry_space_group_name_H-M 'F -4 3 m'
_symmetry_Int_Tables_number 216
_symmetry_space_group_name_Hall 'F -4 2 3'
_cell_length_a 5.761
_cell_length_b 5.761
_cell_length_c 5.761
_cell_angle_alpha 90.00
_cell_angle_beta 90.00
_cell_angle_gamma 90.00
loop_
_atom_site_label
_atom_site_fract_x
_atom_site_fract_y
_atom_site_fract_z
_atom_site_occupancy
Zr1 0.000 0.000 0.000 1
Cu1 0.250 0.250 0.250 1
B1 0.000 0.000 0.500 1
B2 0.250 0.250 0.750 1

No. 15
# GGA-PBE Tm3HgSe4, relaxed
# **E**: -38.16 eV/cell
# **Spin magnetization**: 0.0 μB per formula unit
data_Tm3HgSe4
_symmetry_space_group_name_H-M 'P m -3 m'
_symmetry_Int_Tables_number 221
_symmetry_space_group_name_Hall '-P 4 2 3'
_cell_length_a 5.760
_cell_length_b 5.760
_cell_length_c 5.760
_cell_angle_alpha 90.00
_cell_angle_beta 90.00
_cell_angle_gamma 90.00
loop_
_atom_site_label
_atom_site_fract_x
_atom_site_fract_y
_atom_site_fract_z
_atom_site_occupancy
Tm1 0.000 0.000 0.500 1
Hg1 0.500 0.500 0.500 1
Se1 0.000 0.000 0.000 1
Se2 0.000 0.500 0.500 1

No. 16
# GGA-PBE PuTaGe, relaxed
# **E**: -117.80 eV/cell
# **Spin magnetization**: 4.1 μB per formula unit
data_PuTaGe
_symmetry_space_group_name_H-M 'F -4 3 m'
_symmetry_Int_Tables_number 216
_symmetry_space_group_name_Hall 'F -4 2 3'
_cell_length_a 6.396
_cell_length_b 6.396
_cell_length_c 6.396
_cell_angle_alpha 90.00
_cell_angle_beta 90.00
_cell_angle_gamma 90.00
loop_
_atom_site_label
_atom_site_fract_x
_atom_site_fract_y
_atom_site_fract_z
_atom_site_occupancy
Pu1 0.000 0.000 0.000 1
Ta1 0.250 0.250 0.250 1
Ge1 0.000 0.000 0.500 1

No. 17
# GGA-PBE AlCuPtW, relaxed
# **E**: -105.89 eV/cell
# **Spin magnetization**: 0.5 μB per formula unit
data_AlCuPtW
_symmetry_space_group_name_H-M 'F -4 3 m'
_symmetry_Int_Tables_number 216
_symmetry_space_group_name_Hall 'F -4 2 3'
_cell_length_a 6.175
_cell_length_b 6.175
_cell_length_c 6.175
_cell_angle_alpha 90.00
_cell_angle_beta 90.00
_cell_angle_gamma 90.00
loop_
_atom_site_label
_atom_site_fract_x
_atom_site_fract_y
_atom_site_fract_z
_atom_site_occupancy
Al1 0.000 0.000 0.000 1
Cu1 0.250 0.250 0.250 1
Pt1 0.250 0.250 0.750 1
W1 0.000 0.000 0.500 1

No. 18
# GGA-PBE InReAsO, relaxed
# **E**: -52.43 eV/cell
# **Spin magnetization**: 0.0 μB per formula unit
data_InReAsO
_symmetry_space_group_name_H-M 'P m c 21'
_symmetry_Int_Tables_number 26
_symmetry_space_group_name_Hall 'P 2c -2'
_cell_length_a 3.029
_cell_length_b 8.112
_cell_length_c 5.805
_cell_angle_alpha 90.00
_cell_angle_beta 90.00
_cell_angle_gamma 90.00
loop_
_atom_site_label
_atom_site_fract_x
_atom_site_fract_y
_atom_site_fract_z
_atom_site_occupancy
In1 0.000 0.090 0.000 1
Re1 0.500 0.496 0.711 1
As1 0.000 0.316 0.460 1
O1 0.500 0.325 0.964 1

No. 19
# GGA-PBE LiHfPd2, relaxed
# **E**: -49.49 eV/cell
# **Spin magnetization**: 0.0 μB per formula unit
data_LiHfPd2
_symmetry_space_group_name_H-M 'I 4/m m m'
_symmetry_Int_Tables_number 139
_symmetry_space_group_name_Hall '-I 4 2'
_cell_length_a 4.573
_cell_length_b 4.573
_cell_length_c 6.190
_cell_angle_alpha 90.00
_cell_angle_beta 90.00
_cell_angle_gamma 90.00
loop_
_atom_site_label
_atom_site_fract_x
_atom_site_fract_y
_atom_site_fract_z
_atom_site_occupancy
Li1 0.000 0.000 0.000 1
Hf1 0.000 0.000 0.500 1
Pd1 0.000 0.500 0.250 1

No. 20
# GGA-PBE MgHgSeO, relaxed
# **E**: -57.50 eV/cell
data_MgHgSeO
_symmetry_space_group_name_H-M 'P n m a'
_symmetry_Int_Tables_number 62
_symmetry_space_group_name_Hall '-P 2ac 2n'
_cell_length_a 5.955
_cell_length_b 3.906
_cell_length_c 13.463
_cell_angle_alpha 90.00
_cell_angle_beta 90.00
_cell_angle_gamma 90.00
loop_
_atom_site_label
_atom_site_fract_x
_atom_site_fract_y
_atom_site_fract_z
_atom_site_occupancy
Mg1 0.131 0.250 0.187 1
Hg1 0.196 0.750 0.399 1
Se1 0.244 0.250 0.571 1
O1 0.193 0.750 0.808 1

No. 21
# GGA-PBE LiTmNiTe3, relaxed
# **E**: -104.39 eV/cell
# **Spin magnetization**: 0.0 μB per formula unit
data_LiTmNiTe3
_symmetry_space_group_name_H-M 'C m c m'
_symmetry_Int_Tables_number 63
_symmetry_space_group_name_Hall '-C 2c 2'
_cell_length_a 4.019
_cell_length_b 14.667
_cell_length_c 10.479
_cell_angle_alpha 90.00
_cell_angle_beta 90.00
_cell_angle_gamma 90.00
loop_
_atom_site_label
_atom_site_fract_x
_atom_site_fract_y
_atom_site_fract_z
_atom_site_occupancy
Li1 0.000 0.237 0.250 1
Tm1 0.000 0.000 0.000 1
Ni1 0.000 0.488 0.750 1
Te1 0.000 0.099 0.750 1
Te2 0.000 0.359 0.586 1

No. 22
# GGA-PBE CdTcPd2, relaxed
# **Energy relative to the elements**: 0.27 eV/atom
# **E**: -82.17 eV/cell
# **Spin magnetization**: 1.1 μB per formula unit
data_CdTcPd2
_symmetry_space_group_name_H-M 'F -4 3 m'
_symmetry_Int_Tables_number 216
_symmetry_space_group_name_Hall 'F -4 2 3'
_cell_length_a 6.387
_cell_length_b 6.387
_cell_length_c 6.387
_cell_angle_alpha 90.00
_cell_angle_beta 90.00
_cell_angle_gamma 90.00
loop_
_atom_site_label
_atom_site_fract_x
_atom_site_fract_y
_atom_site_fract_z
_atom_site_occupancy
Cd1 0.000 0.000 0.000 1
Tc1 0.250 0.250 0.750 1
Pd1 0.000 0.000 0.500 1
Pd2 0.250 0.250 0.250 1